## SrTl2Re (PBE-GGA)

Data for a relaxed SrTl2Re crystal. Values from VASP.

Structure (Quantum ESPRESSO input):
```
&SYSTEM
  ibrav = 0, nat = 4, ntyp = 3
/
ATOMIC_SPECIES
Tl 204.38 Tl.upf
Sr 87.62 Sr.upf
Re 186.21 Re.upf
CELL_PARAMETERS angstrom
4.743 0.000 0.000
0.000 3.131 -0.001
0.000 1.678 6.544
ATOMIC_POSITIONS crystal
Tl 0.000 0.412 0.466
Tl 0.000 0.088 0.034
Sr 0.500 0.750 0.750
Re 0.500 0.250 0.250
```

Results
E_form, eV/atom: 0.636
ΔE to the lowest computed polymorph, meV per atom: 65.3



## K2AgSb (PBE-GGA)

Data for a relaxed K2AgSb crystal. Values from VASP.

Structure (Quantum ESPRESSO input):
```
&SYSTEM
  ibrav = 0, nat = 4, ntyp = 3
/
ATOMIC_SPECIES
Ag 107.87 Ag.upf
K 39.10 K.upf
Sb 121.76 Sb.upf
CELL_PARAMETERS angstrom
-4.186 -3.997 -2.371
-0.833 -5.061 3.580
-0.016 6.157 1.105
ATOMIC_POSITIONS crystal
Ag 0.250 0.750 0.500
K 0.500 0.500 0.000
K 0.000 0.000 0.000
Sb 0.750 0.250 0.500
```

Results
Formation energy (no corrections), eV/atom: -0.089



## Tl2ZnIn (PBE-GGA)

Data for a relaxed Tl2ZnIn crystal. Values from VASP.

Structure (Quantum ESPRESSO input):
```
&SYSTEM
  ibrav = 0, nat = 4, ntyp = 3
/
ATOMIC_SPECIES
Zn 65.41 Zn.upf
Tl 204.38 Tl.upf
In 114.82 In.upf
CELL_PARAMETERS angstrom
-2.288 -4.392 1.874
0.333 -3.255 4.163
-4.195 2.287 3.667
ATOMIC_POSITIONS crystal
Zn 0.750 0.750 0.750
Tl 0.490 0.490 0.519
Tl 0.010 0.010 0.981
In 0.250 0.250 0.250
```

Results
E_form, eV/atom: 0.128



## CuAs2W (PBE-GGA)

Data for a relaxed CuAs2W crystal. Values from VASP.

Structure (Quantum ESPRESSO input):
```
&SYSTEM
  ibrav = 0, nat = 4, ntyp = 3
/
ATOMIC_SPECIES
Cu 63.55 Cu.upf
As 74.92 As.upf
W 183.84 W.upf
CELL_PARAMETERS angstrom
-0.245 3.212 -1.725
-2.013 0.754 1.690
4.151 3.300 5.556
ATOMIC_POSITIONS crystal
Cu 0.000 0.428 0.512
As 0.000 0.238 0.916
As 0.500 0.999 0.362
W 0.500 0.835 0.710
```

Results
E_form, eV/atom: 0.240
ΔE to the lowest computed polymorph, meV per atom: 107.2



no.,magnetic moment (μB/atom)
1,0.000
2,0.000
3,0.000
4,0.000